Nd2ErRh9 | Alexandria | PBE | relaxed; magnetization = 0.00 μB/cell; raw total energy = -86.38 eV per formula unit; theoretical density = 10.67 Mg/m³
1.0
-0.566 -0.717 5.203
-2.869 -4.049 1.812
6.132 -6.707 2.425
Rh Nd Er
9 2 1
direct
0.918 0.419 0.243 Rh
0.419 0.918 0.243 Rh
0.333 0.333 0.002 Rh
0.667 0.667 0.998 Rh
0.581 0.581 0.757 Rh
0.419 0.419 0.243 Rh
0.082 0.581 0.757 Rh
0.581 0.082 0.757 Rh
0.500 0.500 0.500 Rh
0.862 0.862 0.415 Nd
0.138 0.138 0.585 Nd
0.000 0.000 0.000 Er

Nd3ErRh3 | Alexandria | PBE | relaxed; magnetization = 0.00 μB/cell; raw total energy = -45.03 eV per formula unit; theoretical density = 8.67 Mg/m³
1.0
6.897 1.210 0.356
-1.990 6.714 0.356
-0.330 -0.533 7.098
Rh Nd Er
6 6 2
direct
0.063 0.063 0.805 Rh
0.498 0.012 0.273 Rh
0.988 0.502 0.727 Rh
0.502 0.988 0.727 Rh
0.012 0.498 0.273 Rh
0.937 0.937 0.195 Rh
0.331 0.331 0.622 Nd
0.253 0.747 0.000 Nd
0.669 0.669 0.378 Nd
0.747 0.253 0.000 Nd
0.180 0.820 0.500 Nd
0.820 0.180 0.500 Nd
0.763 0.763 0.875 Er
0.237 0.237 0.125 Er

NdEr3Rh8 | Alexandria | PBE | relaxed; magnetization = 0.00 μB/cell; raw total energy = -85.72 eV per formula unit; theoretical density = 11.31 Mg/m³
1.0
-4.549 2.771 0.352
1.836 -2.667 4.244
4.498 7.066 2.496
Rh Er Nd
8 3 1
direct
0.165 0.835 0.247 Rh
0.165 0.329 0.247 Rh
0.671 0.835 0.247 Rh
0.333 0.667 0.499 Rh
0.333 0.667 0.000 Rh
0.502 0.498 0.754 Rh
0.995 0.498 0.754 Rh
0.502 0.005 0.754 Rh
0.000 0.000 0.935 Er
0.667 0.333 0.065 Er
0.667 0.333 0.431 Er
0.000 0.000 0.567 Nd

Nd3ErRh8 | Alexandria | PBE | relaxed; magnetization = 0.00 μB/cell; raw total energy = -85.84 eV per formula unit; theoretical density = 10.65 Mg/m³
1.0
-0.650 -5.343 0.320
1.945 -3.191 -3.887
8.059 -3.512 3.175
Rh Nd Er
8 3 1
direct
0.938 0.440 0.684 Rh
0.687 0.687 0.938 Rh
0.936 0.437 0.191 Rh
0.188 0.188 0.437 Rh
0.938 0.938 0.684 Rh
0.437 0.936 0.191 Rh
0.440 0.938 0.684 Rh
0.437 0.437 0.191 Rh
0.375 0.375 0.875 Nd
0.501 0.501 0.498 Nd
0.000 0.000 0.001 Nd
0.875 0.875 0.376 Er

NdEr2Rh9 | Alexandria | PBE | relaxed; magnetization = 0.00 μB/cell; raw total energy = -86.87 eV per formula unit; theoretical density = 11.06 Mg/m³
1.0
5.058 0.000 1.505
2.305 4.502 1.505
-0.002 -0.001 9.258
Nd Rh Er
1 9 2
direct
0.000 0.000 0.000 Nd
0.416 0.416 0.250 Rh
0.917 0.416 0.250 Rh
0.500 0.500 0.500 Rh
0.584 0.083 0.750 Rh
0.333 0.333 0.001 Rh
0.584 0.584 0.750 Rh
0.667 0.667 0.999 Rh
0.416 0.917 0.250 Rh
0.083 0.584 0.750 Rh
0.860 0.860 0.419 Er
0.140 0.140 0.581 Er

NdErRh2 | Alexandria | PBE | relaxed; magnetization = 0.00 μB/cell; raw total energy = -27.11 eV per formula unit; theoretical density = 10.28 Mg/m³
1.0
3.417 0.000 0.000
0.000 3.417 0.000
0.000 0.000 7.154
Er Rh Nd
1 2 1
direct
0.500 0.500 0.000 Er
0.000 0.000 0.766 Rh
0.000 0.000 0.234 Rh
0.500 0.500 0.500 Nd

NdErRh4 | Alexandria | PBE | relaxed; magnetization = 0.00 μB/cell; raw total energy = -42.93 eV per formula unit; theoretical density = 10.98 Mg/m³
1.0
-2.369 -3.464 3.348
0.150 -5.265 -1.037
2.987 -3.253 3.053
Rh Nd Er
4 1 1
direct
0.625 0.625 0.625 Rh
0.625 0.625 0.126 Rh
0.625 0.126 0.625 Rh
0.126 0.625 0.625 Rh
0.000 0.000 0.000 Nd
0.250 0.250 0.250 Er

Nd5ErRh4 | Alexandria | PBE | relaxed; magnetization = 0.00 μB/cell; raw total energy = -63.40 eV per formula unit; theoretical density = 7.88 Mg/m³
1.0
4.260 0.000 0.000
0.000 7.430 -1.224
-2.130 -2.331 9.040
Nd Er Rh
5 1 4
direct
0.164 0.919 0.327 Nd
0.837 0.591 0.673 Nd
0.500 0.500 0.000 Nd
0.163 0.409 0.327 Nd
0.836 0.081 0.673 Nd
0.500 0.000 0.000 Er
0.302 0.802 0.604 Rh
0.000 0.242 0.000 Rh
0.000 0.758 0.000 Rh
0.698 0.198 0.396 Rh

Nd2ErRh | Alexandria | PBE | relaxed; magnetization = 0.71 μB/cell; theoretical density = 8.20 Mg/m³; polymorph energy (0 for the lowest one) = 0.202 eV per atom
1.0
-3.268 -0.907 -1.259
-0.009 -2.925 2.130
-3.709 4.604 6.307
Nd Er Rh
2 1 1
direct
0.000 0.000 0.807 Nd
0.000 0.000 0.193 Nd
0.500 0.500 0.500 Er
0.500 0.500 0.000 Rh

NdErRuRh | Alexandria | PBE | relaxed; magnetization = 0.00 μB/cell; raw total energy = -27.96 eV per formula unit; theoretical density = 10.36 Mg/m³
1.0
4.889 0.000 0.000
2.444 4.234 0.000
2.444 1.411 3.992
Nd Ru Er Rh
1 1 1 1
direct
0.500 0.500 0.500 Nd
0.750 0.750 0.750 Ru
0.000 0.000 0.000 Er
0.250 0.250 0.250 Rh

Nd2ErSb3Rh4 | Alexandria | PBE | relaxed; magnetization = 0.00 μB/cell; ΔE_f (raw) = -868 meV per atom; theoretical density = 9.28 Mg/m³
1.0
4.396 0.000 0.000
0.000 4.396 0.000
0.000 0.000 11.409
Rh Sb Er Nd
4 3 1 2
direct
0.000 0.500 0.356 Rh
0.500 0.000 0.644 Rh
0.000 0.000 0.000 Rh
0.500 0.500 0.000 Rh
0.000 0.500 0.131 Sb
0.000 0.000 0.500 Sb
0.500 0.000 0.869 Sb
0.500 0.500 0.500 Er
0.500 0.000 0.228 Nd
0.000 0.500 0.772 Nd

Nd2ErSn3Rh4 | Alexandria | PBE | relaxed; magnetization = 0.00 μB/cell; raw total energy = -63.09 eV per formula unit; theoretical density = 9.14 Mg/m³
1.0
-0.487 4.277 0.953
0.218 -0.934 4.303
11.356 1.354 -0.281
Sn Rh Er Nd
3 4 1 2
direct
0.500 0.000 0.873 Sn
0.000 0.500 0.127 Sn
0.000 0.000 0.500 Sn
0.500 0.000 0.645 Rh
0.500 0.500 0.000 Rh
0.000 0.500 0.355 Rh
0.000 0.000 0.000 Rh
0.500 0.500 0.500 Er
0.500 0.000 0.233 Nd
0.000 0.500 0.767 Nd